[1]
VASP calculation (GGA-PBE) on an optimized crystal structure of Sm5Dy4Cd2.

The space group is P2/m (No. 10) and the conventional cell measures 8.836, 3.544 and 10.972 Å, with angles of 90.00, 93.67 and 90.00 degrees. Symmetry generates all atoms from Sm at (0.000, 0.000, 0.000), Sm at (0.049, 0.000, 0.327), Sm at (0.300, 0.000, 0.839), Dy at (0.269, 0.500, 0.557), Dy at (0.345, 0.500, 0.121) and Cd at (0.430, 0.000, 0.360).

The total magnetization is 0.001 μB per cell. Its density is 7.9 g/cm3. The crystal system is monoclinic. The formation energy is 0.05 eV per formula unit.

[2]
VASP calculation (GGA-PBE) on an optimized crystal structure of Sm3DyCd2.

The space group is P4/mmm (No. 123) and the conventional cell measures 3.723, 3.723 and 12.763 Å, with angles of 90.00, 90.00 and 90.00 degrees. Symmetry generates all atoms from Sm at (0.000, 0.000, 0.000), Sm at (0.000, 0.000, 0.309), Dy at (0.500, 0.500, 0.500) and Cd at (0.500, 0.500, 0.155).

The total magnetization is 0.267 μB per cell. Its density is 7.9 g/cm3. The crystal system is tetragonal. The formation energy is -1.16 eV per formula unit.

[3]
VASP calculation (GGA-PBE) on an optimized crystal structure of Sm3DyCd6.

The space group is P2_1/m (No. 11) and the conventional cell measures 9.339, 5.193 and 11.138 Å, with angles of 90.00, 105.02 and 90.00 degrees. Symmetry generates all atoms from Sm at (0.027, 0.250, 0.393), Sm at (0.151, 0.750, 0.215), Sm at (0.262, 0.250, 0.003), Dy at (0.445, 0.250, 0.605), Cd at (0.050, 0.750, 0.910), Cd at (0.166, 0.250, 0.707), Cd at (0.267, 0.750, 0.512), Cd at (0.354, 0.750, 0.811), Cd at (0.360, 0.250, 0.307) and Cd at (0.451, 0.750, 0.106).

The total magnetization is 0.687 μB per cell. Its density is 8.2 g/cm3. The crystal system is monoclinic. The formation energy is -2.93 eV per formula unit.

[4]
VASP calculation (GGA-PBE) on an optimized crystal structure of SmDyCd3.

The space group is P2_1/c (No. 14) and the conventional cell measures 8.191, 6.518 and 10.628 Å, with angles of 90.00, 113.73 and 90.00 degrees. Symmetry generates all atoms from Sm at (0.115, 0.118, 0.159), Dy at (0.325, 0.680, 0.953), Cd at (0.082, 0.620, 0.134), Cd at (0.284, 0.159, 0.944) and Cd at (0.476, 0.046, 0.758).

The total magnetization is 0.000 μB per cell. Its density is 8.3 g/cm3. The crystal system is monoclinic. The formation energy is -1.19 eV per formula unit. Its excess energy over the best structure of this formula in the dataset is 65 meV per atom.

[5]
VASP calculation (GGA-PBE) on an optimized crystal structure of Sm2Dy3Cd2.

The space group is Cmmm (No. 65) and the conventional cell measures 3.581, 32.766 and 3.542 Å, with angles of 90.00, 90.00 and 90.00 degrees. Symmetry generates all atoms from Sm at (0.000, 0.203, 0.000), Dy at (0.000, 0.075, 0.000), Dy at (0.000, 0.500, 0.500) and Cd at (0.000, 0.362, 0.500).

The total magnetization is 1.538 μB per cell. Its density is 8.1 g/cm3. The crystal system is orthorhombic. The formation energy is -0.70 eV per formula unit. Its excess energy over the best structure of this formula in the dataset is 50 meV per atom.

[6]
VASP calculation (GGA-PBE) on an optimized crystal structure of Sm4Dy5Cd.

The space group is I4mm (No. 107) and the conventional cell measures 10.683, 10.683 and 5.759 Å, with angles of 90.00, 90.00 and 90.00 degrees. Symmetry generates all atoms from Sm at (0.000, 0.318, 0.000), Dy at (0.000, 0.000, 0.193), Dy at (0.184, 0.184, 0.490) and Cd at (0.000, 0.000, 0.712).

The total magnetization is 0.000 μB per cell. Its density is 7.7 g/cm3. The crystal system is tetragonal. The formation energy is 1.19 eV per formula unit. Its excess energy over the best structure of this formula in the dataset is 168 meV per atom.

[7]
VASP calculation (GGA-PBE) on an optimized crystal structure of Sm12Dy6Cd.

The space group is R-3 (No. 148, hexagonal axes) and the conventional cell measures 11.9852, 11.9852 and 15.1261 Å, with angles of 90.00, 90.00 and 120.00 degrees. Symmetry generates all atoms from Sm at (0.0078, 0.1777, 0.3134), Sm at (0.0470, 0.8481, 0.9153), Dy at (0.0230, 0.4312, 0.1907) and Cd at (0.0000, 0.0000, 0.5000).

The total magnetization is 0.002 μB per cell. Its density is 7.7 g/cm3. The crystal system is trigonal. The formation energy is 1.89 eV per formula unit. Its excess energy over the best structure of this formula in the dataset is 0 meV per atom.

[8]
VASP calculation (GGA-PBE) on an optimized crystal structure of Sm2Dy3Cd.

The space group is P4/mmm (No. 123) and the conventional cell measures 3.590, 3.590 and 14.192 Å, with angles of 90.00, 90.00 and 90.00 degrees. Symmetry generates all atoms from Sm at (0.000, 0.000, 0.179), Dy at (0.500, 0.500, 0.000), Dy at (0.500, 0.500, 0.356) and Cd at (0.000, 0.000, 0.500).

The total magnetization is 0.000 μB per cell. Its density is 8.2 g/cm3. The crystal system is tetragonal. The formation energy is -0.58 eV per formula unit. Its excess energy over the best structure of this formula in the dataset is 0 meV per atom.